(1)
AcCeY2 after structural relaxation, computed with PBE-GGA.

The space group is P4/mmm (No. 123) and the conventional cell measures 5.244, 5.244 and 5.061 Å, with angles of 90.00, 90.00 and 90.00 degrees. The asymmetric unit holds Ac at (0.000, 0.000, 0.000), Ce at (0.500, 0.500, 0.000) and Y at (0.000, 0.500, 0.500).

For the volume, the calculation gives 139.2 Å³/cell. The calculation puts the theoretical density at 6.5 g cm⁻³. Its formation energy from the elements is 0.114 eV/atom. The calculation puts the energy above the most stable polymorph in this dataset at 21 meV per atom. The density of states at the Fermi level is 2.270 states/eV/atom. The total energy is -5.6283 eV per atom. As for the size of the total moment: 0.87 μB/cell.

(2)
BaAl2CdTc after structural relaxation, computed with PBE-GGA.

The space group is P4/mmm (No. 123) and the conventional cell measures 4.900, 4.900 and 5.355 Å, with angles of 90.00, 90.00 and 90.00 degrees. The asymmetric unit holds Ba at (0.000, 0.000, 0.000), Al at (0.000, 0.500, 0.500), Cd at (0.500, 0.500, 0.000) and Tc at (0.500, 0.500, 0.500).

For the volume, the calculation gives 128.6 Å³/cell. The calculation puts the theoretical density at 5.2 g cm⁻³. Its formation energy from the elements is -0.140 eV/atom. The density of states at the Fermi level is 0.610 states/eV/atom. The total energy is -4.2780 eV per atom. As for the size of the total moment: 0.00 μB/cell.

(3)
MgZr2Re after structural relaxation, computed with PBE-GGA.

The space group is Cmm2 (No. 35) and the conventional cell measures 3.301, 4.859 and 9.895 Å, with angles of 90.00, 90.00 and 90.00 degrees. The asymmetric unit holds Mg at (0.000, 0.000, 0.000), Zr at (0.000, 0.000, 0.557), Zr at (0.000, 0.500, 0.276) and Re at (0.000, 0.500, 0.774).

For the volume, the calculation gives 158.7 Å³/cell. The calculation puts the theoretical density at 8.2 g cm⁻³. Its formation energy from the elements is 0.159 eV/atom. The density of states at the Fermi level is 1.215 states/eV/atom. The total energy is -7.6256 eV per atom. As for the size of the total moment: 0.00 μB/cell.

(4)
Al2InRh2 after structural relaxation, computed with PBE-GGA.

The space group is I4/mmm (No. 139) and the conventional cell measures 3.710, 3.710 and 12.210 Å, with angles of 90.00, 90.00 and 90.00 degrees. The asymmetric unit holds Al at (0.000, 0.500, 0.250), In at (0.000, 0.000, 0.000) and Rh at (0.000, 0.000, 0.389).

For the volume, the calculation gives 168.1 Å³/cell. The calculation puts the theoretical density at 7.4 g cm⁻³. Its formation energy from the elements is -0.586 eV/atom. The calculation puts the energy above the most stable polymorph in this dataset at 115 meV per atom. The density of states at the Fermi level is 0.210 states/eV/atom. The total energy is -5.5711 eV per atom. As for the size of the total moment: 0.00 μB/cell.

(5)
CaTa2Os after structural relaxation, computed with PBE-GGA.

The space group is C2 (No. 5) and the conventional cell measures 6.654, 6.656 and 4.710 Å, with angles of 90.00, 134.81 and 90.00 degrees. The asymmetric unit holds Ca at (0.000, 0.000, 0.000), Ta at (0.000, 0.251, 0.500), Ta at (0.000, 0.500, 0.000) and Os at (0.000, 0.749, 0.500).

For the volume, the calculation gives 148.0 Å³/cell. The calculation puts the theoretical density at 13.3 g cm⁻³. Its formation energy from the elements is 0.539 eV/atom. The calculation puts the energy above the most stable polymorph in this dataset at 336 meV per atom. The density of states at the Fermi level is 1.079 states/eV/atom. The total energy is -8.6954 eV per atom. As for the size of the total moment: 0.00 μB/cell.

(6)
CaTa2 after structural relaxation, computed with PBE-GGA.

The space group is C2/m (No. 12) and the conventional cell measures 10.987, 3.400 and 8.097 Å, with angles of 90.00, 109.19 and 90.00 degrees. The asymmetric unit holds Ca at (0.158, 0.000, 0.116), Ta at (0.021, 0.500, 0.690) and Ta at (0.153, 0.000, 0.539).

For the volume, the calculation gives 285.6 Å³/cell. The calculation puts the theoretical density at 9.3 g cm⁻³. Its formation energy from the elements is 0.410 eV/atom. The calculation puts the energy above the most stable polymorph in this dataset at 0 meV per atom. The density of states at the Fermi level is 1.044 states/eV/atom. The total energy is -8.1593 eV per atom. As for the size of the total moment: 0.00 μB/cell.